Record 1
{"formula": "PaO3", "functional": "PBE", "state": "relaxed", "spacegroup": "Cmcm (63)", "de_polymorph_mev_per_atom": 0, "dos_ef_per_ev_atom": 0.193, "lattice": [[3.896, 0.000, 0.000], [-1.948, 3.411, 0.000], [0.000, 0.000, 6.992]], "species": ["O", "O", "O", "O", "O", "O", "Pa", "Pa"], "fractional_positions": [[0.533, 0.066, 0.250], [0.467, 0.934, 0.750], [0.852, 0.704, 0.066], [0.148, 0.296, 0.566], [0.148, 0.296, 0.934], [0.852, 0.704, 0.434], [0.799, 0.599, 0.750], [0.201, 0.401, 0.250]]}

---

Record 2
{"formula": "Pa2O5", "functional": "PBE", "state": "relaxed", "spacegroup": "P-1 (2)", "total_energy_ev_per_atom": -9.79, "dos_ef_per_ev_atom": 0.000, "lattice": [[-1.417, -3.809, -4.466], [4.331, 1.775, -2.684], [1.131, -3.918, 6.677]], "species": ["Pa", "Pa", "Pa", "Pa", "O", "O", "O", "O", "O", "O", "O", "O", "O", "O"], "fractional_positions": [[0.783, 0.168, 0.738], [0.264, 0.657, 0.755], [0.736, 0.343, 0.245], [0.217, 0.832, 0.262], [0.431, 0.019, 0.147], [0.180, 0.488, 0.941], [0.427, 0.263, 0.598], [0.569, 0.981, 0.853], [0.015, 0.921, 0.803], [0.820, 0.512, 0.059], [0.985, 0.079, 0.197], [0.573, 0.737, 0.402], [0.893, 0.329, 0.549], [0.107, 0.671, 0.451]]}

---

Record 3
{"formula": "PaO5", "functional": "PBE", "state": "relaxed", "spacegroup": "Pm (6)", "total_energy_ev_per_atom": -7.50, "dos_ef_per_ev_atom": 0.279, "lattice": [[-0.060, 1.285, -3.326], [2.218, -3.386, -1.348], [-5.301, -4.317, 2.124]], "species": ["O", "O", "O", "O", "O", "Pa"], "fractional_positions": [[0.052, 0.000, 0.609], [0.163, 0.000, 0.212], [0.754, 0.500, 0.818], [0.960, 0.000, 0.020], [0.350, 0.500, 0.398], [0.054, 0.500, 0.610]]}

---

Record 4
{"formula": "PaO3", "functional": "PBE", "state": "relaxed", "spacegroup": "Fm-3m (225)", "de_polymorph_mev_per_atom": 272, "dos_ef_per_ev_atom": 0.721, "lattice": [[-3.332, -1.911, -0.636], [-0.061, -3.892, 0.095], [-1.775, -1.848, 2.932]], "species": ["O", "O", "O", "Pa"], "fractional_positions": [[0.000, 0.000, 0.000], [0.750, 0.750, 0.750], [0.250, 0.250, 0.250], [0.500, 0.500, 0.500]]}

---

Number 1: M_tot 2.05 μB/cell. Number 2: M_tot 0.00 μB/cell. Number 3: M_tot 1.04 μB/cell. Number 4: M_tot 0.97 μB/cell.